[1]
Entry from Alexandria via LeMat-Bulk: Cs2RhPb after structural relaxation (PBE).

The structure in POSCAR format:
```
Cs2RhPb
1.0
-6.4615 6.4615 2.5979
6.4615 -6.4615 2.5979
6.4615 6.4615 -2.5979
Cs Rh Pb
4 2 2
Direct
0.6250 0.2888 0.1638 Cs
0.1250 0.4612 0.8362 Cs
0.7112 0.8750 0.3362 Cs
0.5388 0.3750 0.6638 Cs
0.5000 0.5000 0.0000 Rh
0.7500 0.2500 0.5000 Rh
0.0000 0.0000 0.0000 Pb
0.2500 0.7500 0.5000 Pb
```

Calculated values
The calculation puts the energy relative to the elements at 0.19 eV per atom. The calculation puts the energy relative to the lowest polymorph listed for this composition at 0.000 eV/atom. The mass density is 4.41 g cm⁻³.


[2]
Entry from Alexandria via LeMat-Bulk: CsRh2Pb2 after structural relaxation (PBE).

The structure in POSCAR format:
```
CsRh2Pb2
1.0
-1.1480 -3.7005 1.3504
3.9189 -1.2156 0.0004
2.2442 0.3130 8.9991
Pb Cs Rh
2 1 2
Direct
0.3515 0.3515 0.2970 Pb
0.6485 0.6485 0.7030 Pb
0.0000 0.0000 0.0000 Cs
0.7500 0.2500 0.5000 Rh
0.2500 0.7500 0.5000 Rh
```

Calculated values
The calculation puts the energy relative to the elements at -0.06 eV per atom. The calculation puts the energy relative to the lowest polymorph listed for this composition at 0.000 eV/atom. The mass density is 8.43 g cm⁻³.


[3]
Entry from Alexandria via LeMat-Bulk: CsRh2Pb2 after structural relaxation (PBE).

The structure in POSCAR format:
```
CsRh2Pb2
1.0
-4.7119 -2.8598 6.5980
-2.2642 -6.8971 -4.6063
2.5943 -1.6200 1.1505
Pb Cs Rh
4 2 4
Direct
0.1385 0.6385 0.5000 Pb
0.6385 0.8615 0.5000 Pb
0.8615 0.3615 0.5000 Pb
0.3615 0.1385 0.5000 Pb
0.0000 0.0000 0.0000 Cs
0.5000 0.5000 0.0000 Cs
0.3586 0.8586 0.0000 Rh
0.8586 0.6414 0.0000 Rh
0.6414 0.1414 0.0000 Rh
0.1414 0.3586 0.0000 Rh
```

Calculated values
The calculation puts the energy relative to the elements at 0.19 eV per atom. The calculation puts the energy relative to the lowest polymorph listed for this composition at 0.252 eV/atom. The mass density is 10.36 g cm⁻³.


[4]
Entry from Alexandria via LeMat-Bulk: CsSc2RhPb after structural relaxation (PBE).

The structure in POSCAR format:
```
CsSc2RhPb
1.0
5.6008 0.0000 0.0000
0.0000 5.2676 0.0000
0.0000 0.0000 5.6008
Pb Cs Rh Sc
1 1 1 2
Direct
0.0000 0.0000 0.0000 Pb
0.5000 0.5000 0.5000 Cs
0.0000 0.5000 0.0000 Rh
0.0000 0.0000 0.5000 Sc
0.5000 0.0000 0.0000 Sc
```

Calculated values
The calculation puts the energy relative to the elements at 0.68 eV per atom. The mass density is 5.36 g cm⁻³.


[5]
Entry from Alexandria via LeMat-Bulk: Cs2RhPbSe after structural relaxation (PBE).

The structure in POSCAR format:
```
Cs2RhPbSe
1.0
7.1388 0.0000 0.0000
0.0000 5.0325 0.0000
0.0000 0.0000 7.1388
Pb Cs Rh Se
1 2 1 1
Direct
0.0000 0.0000 0.0000 Pb
0.0000 0.0000 0.5000 Cs
0.5000 0.0000 0.0000 Cs
0.0000 0.5000 0.0000 Rh
0.5000 0.5000 0.5000 Se
```

Calculated values
The formation energy from raw total energies comes out at 0.342 eV/atom. The mass density is 4.24 g cm⁻³.


[6]
Entry from Alexandria via LeMat-Bulk: CsSr2RhPb after structural relaxation (PBE).

The structure in POSCAR format:
```
CsSr2RhPb
1.0
5.9733 0.0000 0.0000
0.0000 5.9733 0.0000
0.0000 0.0000 5.4124
Pb Cs Rh Sr
1 1 1 2
Direct
0.0000 0.0000 0.5000 Pb
0.5000 0.5000 0.5000 Cs
0.0000 0.0000 0.0000 Rh
0.0000 0.5000 0.0000 Sr
0.5000 0.0000 0.0000 Sr
```

Calculated values
The calculation puts the energy relative to the elements at -0.18 eV per atom. The mass density is 5.32 g cm⁻³.


[7]
Entry from Alexandria via LeMat-Bulk: CsSrRhPb2 after structural relaxation (PBE).

The structure in POSCAR format:
```
CsSrRhPb2
1.0
-3.4526 -2.7634 3.2442
1.0784 -4.6060 -2.7756
4.3301 -1.1651 3.6158
Pb Cs Rh Sr
2 1 1 1
Direct
0.0000 0.5000 0.0000 Pb
0.5000 0.0000 0.0000 Pb
0.5000 0.5000 0.5000 Cs
0.0000 0.0000 0.0000 Rh
0.0000 0.0000 0.5000 Sr
```

Calculated values
The calculation puts the energy relative to the elements at -0.13 eV per atom. The mass density is 7.07 g cm⁻³.


[8]
Entry from Alexandria via LeMat-Bulk: CsTl2RhPb after structural relaxation (PBE).

The structure in POSCAR format:
```
CsTl2RhPb
1.0
5.4556 0.0000 0.0000
0.0000 5.4556 0.0000
0.0000 0.0000 5.4705
Pb Cs Tl Rh
1 1 2 1
Direct
0.0000 0.0000 0.5000 Pb
0.5000 0.5000 0.5000 Cs
0.0000 0.5000 0.0000 Tl
0.5000 0.0000 0.0000 Tl
0.0000 0.0000 0.0000 Rh
```

Calculated values
The calculation puts the energy relative to the elements at 0.00 eV per atom. The mass density is 8.69 g cm⁻³.


[9]
Entry from Alexandria via LeMat-Bulk: CsTlRhPb2 after structural relaxation (PBE).

The structure in POSCAR format:
```
CsTlRhPb2
1.0
5.4800 0.0000 0.0000
0.0000 5.4800 0.0000
0.0000 0.0000 5.4867
Pb Cs Tl Rh
2 1 1 1
Direct
0.0000 0.5000 0.0000 Pb
0.5000 0.0000 0.0000 Pb
0.5000 0.5000 0.5000 Cs
0.0000 0.0000 0.5000 Tl
0.0000 0.0000 0.0000 Rh
```

Calculated values
The calculation puts the energy relative to the elements at 0.06 eV per atom. The mass density is 8.61 g cm⁻³.


[10]
Entry from Alexandria via LeMat-Bulk: CsRu3Pb after structural relaxation (PBE).

The structure in POSCAR format:
```
CsRu3Pb
1.0
4.9895 0.0000 0.0000
0.0000 4.9895 0.0000
0.0000 0.0000 4.9895
Pb Cs Ru
1 1 3
Direct
0.5000 0.5000 0.5000 Pb
0.0000 0.0000 0.0000 Cs
0.0000 0.5000 0.0000 Ru
0.0000 0.0000 0.5000 Ru
0.5000 0.0000 0.0000 Ru
```

Calculated values
The calculation puts the energy relative to the elements at 2.57 eV per atom. The calculation puts the energy relative to the lowest polymorph listed for this composition at 0.654 eV/atom. The mass density is 8.60 g cm⁻³.


[11]
Entry from Alexandria via LeMat-Bulk: CsRuPb2 after structural relaxation (PBE).

The structure in POSCAR format:
```
CsRuPb2
1.0
7.2248 0.0000 0.0000
0.0000 7.2248 0.0000
3.6124 3.6124 7.2457
Pb Cs Ru
4 2 2
Direct
0.3753 0.1250 0.2500 Pb
0.3747 0.6250 0.2500 Pb
0.3750 0.6247 0.7500 Pb
0.8750 0.6253 0.7500 Pb
0.0000 0.0000 0.0000 Cs
0.7500 0.2500 0.5000 Cs
0.5000 0.5000 0.0000 Ru
0.2500 0.7500 0.5000 Ru
```

Calculated values
The calculation puts the energy relative to the elements at 0.27 eV per atom. The mass density is 5.69 g cm⁻³.


[12]
Entry from Alexandria via LeMat-Bulk: CsRu3Pb after structural relaxation (PBE).

The structure in POSCAR format:
```
CsRu3Pb
1.0
-2.2166 -0.9256 -4.6190
2.9288 -4.2691 -0.5500
-3.6897 -2.8325 2.3383
Pb Cs Ru
1 1 3
Direct
0.0000 0.0000 0.0000 Pb
0.5000 0.5000 0.5000 Cs
0.0000 0.5000 0.0000 Ru
0.0000 0.0000 0.5000 Ru
0.5000 0.0000 0.0000 Ru
```

Calculated values
The calculation puts the energy relative to the elements at 1.91 eV per atom. The calculation puts the energy relative to the lowest polymorph listed for this composition at 0.000 eV/atom. The mass density is 7.57 g cm⁻³.


[13]
Entry from Alexandria via LeMat-Bulk: Cs2RuPbSe after structural relaxation (PBE).

The structure in POSCAR format:
```
Cs2RuPbSe
1.0
-5.6540 -3.4751 -2.5686
3.1142 -3.3575 -2.3124
-0.1147 -4.1078 5.8098
Pb Cs Se Ru
1 2 1 1
Direct
0.0000 0.0000 0.0000 Pb
0.0000 0.0000 0.5000 Cs
0.5000 0.0000 0.0000 Cs
0.5000 0.5000 0.5000 Se
0.0000 0.5000 0.0000 Ru
```

Calculated values
The formation energy from raw total energies comes out at 0.621 eV/atom. The mass density is 4.17 g cm⁻³.


[14]
Entry from Alexandria via LeMat-Bulk: CsPbS2 after structural relaxation (PBE).

The structure in POSCAR format:
```
CsPbS2
1.0
5.9643 7.6775 -0.1163
8.6204 4.4551 -0.6086
6.5587 6.0064 -3.9289
Pb Cs S
1 1 2
Direct
0.5000 0.5000 0.5000 Pb
0.0000 0.0000 0.0000 Cs
0.8878 0.8878 0.8878 S
0.1122 0.1122 0.1122 S
```

Calculated values
The formation energy from raw total energies comes out at -0.336 eV/atom. The mass density is 4.66 g cm⁻³.


[15]
Entry from Alexandria via LeMat-Bulk: Cs3PbS after structural relaxation (PBE).

The structure in POSCAR format:
```
Cs3PbS
1.0
6.7678 0.0000 0.0000
0.0000 6.7678 0.0000
0.0000 0.0000 6.7678
Cs Pb S
3 1 1
Direct
0.0000 0.5000 0.0000 Cs
0.0000 0.0000 0.5000 Cs
0.5000 0.0000 0.0000 Cs
0.5000 0.5000 0.5000 Pb
0.0000 0.0000 0.0000 S
```

Calculated values
The formation energy from raw total energies comes out at -0.385 eV/atom. The calculation puts the energy relative to the lowest polymorph listed for this composition at 0.000 eV/atom. The mass density is 3.42 g cm⁻³.


[16]
Entry from Alexandria via LeMat-Bulk: CsPb2S2 after structural relaxation (PBE).

The structure in POSCAR format:
```
CsPb2S2
1.0
5.4388 0.0000 0.0000
0.0000 5.4388 0.0000
2.7194 2.7194 5.6117
Pb Cs S
2 1 2
Direct
0.3403 0.3403 0.3194 Pb
0.6597 0.6597 0.6806 Pb
0.0000 0.0000 0.0000 Cs
0.7500 0.2500 0.5000 S
0.2500 0.7500 0.5000 S
```

Calculated values
The formation energy from raw total energies comes out at -0.565 eV/atom. The calculation puts the energy relative to the lowest polymorph listed for this composition at 0.003 eV/atom. The mass density is 6.12 g cm⁻³.


[17]
Entry from Alexandria via LeMat-Bulk: CsPbS2 after structural relaxation (PBE).

The structure in POSCAR format:
```
CsPbS2
1.0
4.9126 0.0000 0.0000
0.0000 8.0469 -0.0001
0.0000 -0.0003 13.7356
Cs Pb S
4 4 8
Direct
0.7500 0.6036 0.6303 Cs
0.2500 0.8964 0.1303 Cs
0.2500 0.3964 0.3697 Cs
0.7500 0.1036 0.8697 Cs
0.7500 0.9348 0.3799 Pb
0.2500 0.5652 0.8799 Pb
0.2500 0.0652 0.6201 Pb
0.7500 0.4348 0.1201 Pb
0.7500 0.1589 0.5366 S
0.2500 0.3410 0.0366 S
0.2500 0.8411 0.4634 S
0.7500 0.6590 0.9634 S
0.7500 0.6564 0.2598 S
0.2500 0.8435 0.7597 S
0.2500 0.3436 0.7402 S
0.7500 0.1565 0.2403 S
```

Calculated values
The formation energy from raw total energies comes out at -0.642 eV/atom. The mass density is 4.94 g cm⁻³.


[18]
Entry from Alexandria via LeMat-Bulk: Cs5Pb2S6 after structural relaxation (PBE).

The structure in POSCAR format:
```
Cs5Pb2S6
1.0
8.2996 0.1059 1.0688
3.2795 7.6250 1.0688
0.6748 0.4505 18.1830
Cs Pb S
10 4 12
Direct
0.6903 0.2299 0.9984 Cs
0.7701 0.3097 0.5016 Cs
0.3097 0.7701 0.0016 Cs
0.2299 0.6903 0.4984 Cs
0.7298 0.9550 0.7244 Cs
0.0450 0.2702 0.7756 Cs
0.2702 0.0450 0.2756 Cs
0.9550 0.7298 0.2244 Cs
0.3498 0.6502 0.7500 Cs
0.6502 0.3498 0.2500 Cs
0.3444 0.1053 0.5737 Pb
0.8947 0.6556 0.9263 Pb
0.6556 0.8947 0.4263 Pb
0.1053 0.3444 0.0737 Pb
0.0832 0.0276 0.6268 S
0.9724 0.9168 0.8732 S
0.9168 0.9724 0.3732 S
0.0276 0.0832 0.1268 S
0.3862 0.3232 0.6436 S
0.6768 0.6138 0.8564 S
0.6138 0.6768 0.3564 S
0.3232 0.3862 0.1436 S
0.6271 0.7920 0.5740 S
0.2080 0.3729 0.9260 S
0.3729 0.2080 0.4260 S
0.7920 0.6271 0.0740 S
```

Calculated values
The formation energy from raw total energies comes out at -0.816 eV/atom. The mass density is 3.71 g cm⁻³.


[19]
Entry from Alexandria via LeMat-Bulk: Cs3PbS after structural relaxation (PBE).

The structure in POSCAR format:
```
Cs3PbS
1.0
7.0744 0.0000 0.0000
0.0000 7.0744 0.0000
0.0000 0.0000 7.0744
Pb Cs S
1 3 1
Direct
0.0000 0.0000 0.0000 Pb
0.0000 0.5000 0.0000 Cs
0.0000 0.0000 0.5000 Cs
0.5000 0.0000 0.0000 Cs
0.5000 0.5000 0.5000 S
```

Calculated values
The formation energy from raw total energies comes out at 0.136 eV/atom. The calculation puts the energy relative to the lowest polymorph listed for this composition at 0.520 eV/atom. The mass density is 2.99 g cm⁻³.


[20]
Entry from Alexandria via LeMat-Bulk: Cs5PbS4 after structural relaxation (PBE).

The structure in POSCAR format:
```
Cs5PbS4
1.0
8.2936 0.0000 0.0000
0.0000 10.8112 0.0000
0.0000 0.0000 10.3697
Cs Pb S
10 2 8
Direct
0.7383 0.1948 0.2405 Cs
0.7383 0.1948 0.7595 Cs
0.1553 0.0000 0.5000 Cs
0.7383 0.8052 0.2405 Cs
0.7383 0.8052 0.7595 Cs
0.2617 0.6948 0.2595 Cs
0.2617 0.6948 0.7405 Cs
0.8447 0.5000 0.0000 Cs
0.2617 0.3052 0.7405 Cs
0.2617 0.3052 0.2595 Cs
0.2123 0.0000 0.0000 Pb
0.7877 0.5000 0.5000 Pb
0.0328 0.2132 0.0000 S
0.3901 0.0000 0.2215 S
0.3901 0.0000 0.7785 S
0.0328 0.7868 0.0000 S
0.9672 0.7132 0.5000 S
0.6099 0.5000 0.2785 S
0.6099 0.5000 0.7215 S
0.9672 0.2868 0.5000 S
```

Calculated values
The formation energy from raw total energies comes out at -0.904 eV/atom. The mass density is 3.57 g cm⁻³.